MgReNiBi2 after structural relaxation. Source: the Alexandria database, functional PBE-GGA.

The structure in CIF format:
```
data_MgReNiBi2
_cell_length_a 5.0394
_cell_length_b 5.0394
_cell_length_c 4.6457
_cell_angle_alpha 90.00
_cell_angle_beta 90.00
_cell_angle_gamma 90.00
_space_group_name_H-M_alt 'P 1'
_space_group_IT_number 1
loop_
_space_group_symop_operation_xyz
'x,y,z'
loop_
_atom_site_label
_atom_site_type_symbol
_atom_site_fract_x
_atom_site_fract_y
_atom_site_fract_z
Mg1 Mg 0.0000 0.0000 0.0000
Re1 Re 0.5000 0.5000 0.0000
Ni1 Ni 0.0000 0.0000 0.5000
Bi1 Bi 0.0000 0.5000 0.5000
Bi2 Bi 0.5000 0.0000 0.5000
```

Calculated values
The total magnetization comes out at 0.555 μB/atom. As for the energy of formation: 1.040 eV per atom. The value obtained for the total energy is -22.385 eV/f.u.